DFT (PBE-GGA) results for an optimized crystal structure of MgAlReAg2.

- E: -3.120 eV/atom

Cell and atoms, written as extended XYZ:
```
5
Lattice="4.6437 0.0000 0.0000 0.0000 4.8779 0.0000 0.0000 0.0000 4.6437" Properties=species:S:1:pos:R:3 pbc="T T T"
Re 2.3219 2.4389 2.3219
Mg 0.0000 0.0000 0.0000
Al 0.0000 2.4389 0.0000
Ag 0.0000 0.0000 2.3219
Ag 2.3219 0.0000 0.0000
```